Entry 1:
RbIn9Ga3: relaxed, PBE-GGA.

POSCAR file:
```
RbIn9Ga3
1.0
5.364 -0.151 2.177
2.427 7.682 0.985
-0.267 -0.076 8.353
Rb In Ga
1 9 3
Cartesian
0.000 0.000 0.000 Rb
5.508 5.889 8.832 In
2.017 1.566 2.683 In
3.050 1.490 7.835 In
4.475 5.965 3.681 In
4.239 2.571 4.774 In
3.286 4.884 6.741 In
6.788 4.808 5.809 In
0.736 2.647 5.706 In
1.213 3.841 0.493 In
3.896 3.765 1.581 Ga
-0.133 -0.038 4.176 Ga
2.549 -0.114 5.265 Ga
```

Computed properties:
**E_form**: -0.01 eV/atom
**M_tot**: 0.00 μB/f.u.
**Density**: 6.3 g/cm3
**Fermi-level density of states**: 5.7 states/eV per cell


Entry 2:
RbIn2GaRh: relaxed, PBE-GGA.

POSCAR file:
```
RbIn2GaRh
1.0
5.265 0.000 0.000
0.000 5.265 0.000
0.000 0.000 4.949
Rh Ga Rb In
1 1 1 2
Cartesian
0.000 0.000 0.000 Rh
0.000 0.000 2.474 Ga
2.632 2.632 2.474 Rb
0.000 2.632 0.000 In
2.632 0.000 0.000 In
```

Computed properties:
**E_form**: -0.21 eV/atom
**M_tot**: 0.00 μB/f.u.
**Density**: 5.9 g/cm3
**Fermi-level density of states**: 3.4 states/eV per cell


Entry 3:
RbInGa2Rh: relaxed, PBE-GGA.

POSCAR file:
```
RbInGa2Rh
1.0
-4.779 -0.069 -1.244
1.088 -2.633 -4.034
-0.646 -4.449 2.729
Rh Ga Rb In
1 2 1 1
Cartesian
0.000 0.000 0.000 Rh
0.544 -1.316 -2.017 Ga
-2.389 -0.035 -0.622 Ga
-2.168 -3.575 -1.274 Rb
-0.323 -2.224 1.365 In
```

Computed properties:
**E_form**: -0.22 eV/atom
**M_tot**: 0.00 μB/f.u.
**Density**: 5.7 g/cm3
**Fermi-level density of states**: 3.3 states/eV per cell


Entry 4:
RbInGa2Ru: relaxed, PBE-GGA.

POSCAR file:
```
RbInGa2Ru
1.0
5.405 0.000 0.000
0.000 5.267 0.000
0.000 0.000 5.405
Ru Ga Rb In
1 2 1 1
Cartesian
0.000 2.634 0.000 Ru
0.000 0.000 2.702 Ga
2.702 0.000 0.000 Ga
2.702 2.634 2.702 Rb
0.000 0.000 0.000 In
```

Computed properties:
**E_form**: 0.84 eV/atom
**M_tot**: 1.53 μB/f.u.
**Density**: 4.8 g/cm3
**Fermi-level density of states**: 6.7 states/eV per cell


Entry 5:
RbInGa2Ru: relaxed, PBE-GGA.

POSCAR file:
```
RbInGa2Ru
1.0
4.940 0.000 0.000
0.000 4.940 0.000
0.000 0.000 5.224
Ru Ga Rb In
1 2 1 1
Cartesian
0.000 0.000 0.000 Ru
0.000 2.470 0.000 Ga
2.470 0.000 0.000 Ga
2.470 2.470 2.612 Rb
0.000 0.000 2.612 In
```

Computed properties:
**E_form**: -0.20 eV/atom
**M_tot**: 0.00 μB/f.u.
**Density**: 5.7 g/cm3
**Fermi-level density of states**: 1.2 states/eV per cell


Entry 6:
RbInGa2Sb: relaxed, PBE-GGA.

POSCAR file:
```
RbInGa2Sb
1.0
4.972 0.000 0.000
0.000 5.242 0.000
-2.486 -2.621 5.564
Rb In Ga Sb
1 1 2 1
Cartesian
0.000 0.000 4.837 Rb
0.000 2.621 1.955 In
2.486 0.000 2.085 Ga
0.000 0.000 0.936 Ga
2.486 2.621 3.676 Sb
```

Computed properties:
**M_tot**: 0.00 μB/f.u.
**Raw formation energy**: -167.6 meV/atom
**Density**: 5.3 g/cm3
**Fermi-level density of states**: 1.5 states/eV per cell


Entry 7:
RbInGa2Sb: relaxed, PBE-GGA.

POSCAR file:
```
RbInGa2Sb
1.0
-3.964 2.339 -3.092
-3.811 -4.736 1.304
-1.865 2.726 4.453
Sb Ga Rb In
1 2 1 1
Cartesian
0.000 0.000 0.000 Sb
-0.932 1.363 2.227 Ga
-1.982 1.169 -1.546 Ga
-4.820 0.164 1.333 Rb
-1.905 -2.368 0.652 In
```

Computed properties:
**M_tot**: 0.00 μB/f.u.
**Raw formation energy**: 277.7 meV/atom
**Density**: 4.0 g/cm3
**Fermi-level density of states**: 3.0 states/eV per cell


Entry 8:
Rb2InGaSb2: relaxed, PBE-GGA.

POSCAR file:
```
Rb2InGaSb2
1.0
7.473 0.000 0.000
0.000 7.446 0.000
-3.736 -3.723 8.020
Rb In Ga Sb
4 2 2 4
Cartesian
1.906 0.000 2.684 Rb
1.830 3.723 5.337 Rb
-1.830 0.000 5.337 Rb
5.566 3.723 2.684 Rb
0.000 5.584 0.000 In
0.000 1.861 0.000 In
3.736 5.584 0.000 Ga
3.736 1.861 0.000 Ga
5.505 0.000 1.424 Sb
1.967 3.723 1.424 Sb
1.769 0.000 6.597 Sb
-1.769 3.723 6.597 Sb
```

Computed properties:
**M_tot**: 0.00 μB/f.u.
**Raw formation energy**: -328.7 meV/atom
**Density**: 4.5 g/cm3
**Fermi-level density of states**: 3.7 states/eV per cell